Entry 1:
Material: TbPr2Th
Method: DFT, GGA-PBE
State: optimized geometry

Calculated values
**Raw total energy**: -21.5 eV per formula unit
**Formation enthalpy at 0 K**: 3.5 kJ per mole of atoms
**Offset from the most stable computed form**: 0.0 kJ per mole of atoms

extended XYZ file:
```
4
Lattice="3.6550 0.0000 0.0000 1.8275 3.1653 0.0000 1.8275 1.0551 11.8163" Properties=species:S:1:pos:R:3 pbc="T T T"
Pr 1.8275 1.0551 2.9139
Pr 1.8275 1.0551 8.9092
Th 5.4825 3.1653 11.8114
Tb 3.6550 2.1102 5.9063
```

Entry 2:
Material: Dy2ErAg3Se6
Method: DFT, GGA-PBE
State: optimized geometry

Calculated values
**Formation energy from raw total energies**: -1.1634 eV per atom
**Raw total energy**: -57.2 eV per formula unit

extended XYZ file:
```
12
Lattice="-2.5491 2.5699 2.0574 3.7215 -1.8541 6.9269 6.1038 5.6157 -3.6650" Properties=species:S:1:pos:R:3 pbc="T T T"
Er -1.2745 1.2849 1.0287
Ag 0.5862 0.3579 4.4921
Ag 2.5697 5.5325 0.4860
Ag 4.7065 0.7991 4.8332
Se 0.6228 3.4057 0.7304
Se 4.7876 3.8110 1.1714
Se 6.3589 6.7730 3.6312
Se 0.9173 -0.4415 1.6880
Se 6.6534 2.9259 4.5888
Se 2.4886 2.5205 4.1478
Dy 2.8388 1.6913 1.4046
Dy 4.4374 4.6402 3.9146
```

Entry 3:
Material: CaBi4O9
Method: DFT, GGA-PBE
State: optimized geometry

Calculated values
**Formation energy from raw total energies**: -1.3085 eV per atom
**Raw total energy**: -80.5 eV per formula unit

extended XYZ file:
```
28
Lattice="-1.0898 -4.7014 -3.1342 8.1363 -2.0483 0.2434 5.9175 -6.4748 7.6549" Properties=species:S:1:pos:R:3 pbc="T T T"
O 1.4476 -5.3163 -2.6328
O 7.9088 -8.4578 4.1446
O 7.4708 -5.4427 -0.5335
O 7.5935 -3.2111 1.3579
O 5.0552 -4.7667 0.6195
O 9.6314 -10.4214 2.5367
O 5.3705 -10.0134 3.4062
O 10.5982 -7.9527 3.7789
O 10.8025 -10.0236 5.7840
O 2.3658 -5.2718 0.9852
O 7.5631 -8.9616 0.7089
O 2.1616 -3.2009 -1.0199
O 11.5165 -7.9082 7.3969
O 5.4009 -4.2629 4.0552
O 5.0764 -6.6278 2.6812
O 3.3327 -2.8031 2.2274
O 7.8876 -6.5967 2.0829
O 5.4932 -7.7818 5.2976
Bi 6.4561 -3.3960 -0.3532
Bi 3.9783 -4.7398 2.5240
Bi 9.7536 -7.9707 5.9434
Bi 6.2458 -7.1016 0.5371
Bi 6.7182 -6.1229 4.2270
Bi 6.5080 -9.8285 5.1173
Bi 8.9857 -8.4847 2.2401
Bi 3.2105 -5.2538 -1.1793
Ca 1.2169 -2.7509 1.1589
Ca 3.6108 -8.4253 3.3618
```

Entry 4:
Material: Ba2MgAu
Method: DFT, GGA-PBE
State: optimized geometry

Calculated values
**Raw total energy**: -9.4 eV per formula unit
**Formation enthalpy at 0 K**: -16.9 kJ per mole of atoms

extended XYZ file:
```
4
Lattice="-3.7056 -1.4834 2.8523 -2.6420 -5.3913 -6.2362 0.6327 -6.5440 -2.5814" Properties=species:S:1:pos:R:3 pbc="T T T"
Ba 0.0000 0.0000 0.0000
Ba -3.1738 -3.4374 -1.6919
Au 0.3163 -3.2720 -1.2907
Mg -2.8574 -6.7094 -2.9826
```

Entry 5:
Material: KSr2Ir
Method: DFT, GGA-PBE
State: optimized geometry

Calculated values
**Raw total energy**: -13.3 eV per formula unit
**Formation enthalpy at 0 K**: 0.5 kJ per mole of atoms
**Offset from the most stable computed form**: 0.1 kJ per mole of atoms

extended XYZ file:
```
4
Lattice="-0.0655 1.1050 -3.5927 3.3171 -1.6786 -0.5767 -2.0624 -11.1133 -3.3806" Properties=species:S:1:pos:R:3 pbc="T T T"
Ir 0.2809 -2.6455 -2.7857
Sr 2.7628 -2.6168 -0.8552
Sr 1.1816 -5.4578 -1.7002
K 0.9083 -9.0414 -4.7644
```

Entry 6:
Material: Ta2IrPb
Method: DFT, GGA-PBE
State: optimized geometry

Calculated values
**Raw total energy**: -35.3 eV per formula unit
**Formation enthalpy at 0 K**: 23.7 kJ per mole of atoms

extended XYZ file:
```
4
Lattice="5.3403 -0.0265 0.0000 2.3066 4.8166 0.0000 -3.8234 -2.3950 2.8574" Properties=species:S:1:pos:R:3 pbc="T T T"
Ta 0.0000 0.0000 0.0000
Ta 1.1533 2.4083 1.4287
Pb 2.6702 -0.0133 1.4287
Ir 3.8234 2.3950 0.0000
```

Entry 7:
Material: HfScRu
Method: DFT, GGA-PBE
State: optimized geometry

Calculated values
**Raw total energy**: -26.8 eV per formula unit
**Formation enthalpy at 0 K**: -38.9 kJ per mole of atoms
**Offset from the most stable computed form**: 6.7 kJ per mole of atoms

extended XYZ file:
```
12
Lattice="7.5061 0.0000 -0.0091 0.0000 3.2690 0.0000 -5.6044 0.0000 9.6664" Properties=species:S:1:pos:R:3 pbc="T T T"
Sc 0.5085 1.6345 9.5228
Sc -1.4096 0.0000 7.1412
Sc 3.3106 0.0000 4.6896
Sc 1.3926 1.6345 2.3080
Hf 4.1711 0.0000 1.7352
Hf -4.2301 0.0000 8.9184
Hf 1.3689 1.6345 6.5684
Hf -1.4279 1.6345 4.0852
Ru -0.7705 0.0000 1.9347
Ru 0.6372 0.0000 4.5831
Ru -2.1650 1.6345 9.4163
Ru -3.5727 1.6345 6.7679
```

Entry 8:
Material: Co2GeAu
Method: DFT, GGA-PBE
State: optimized geometry

Calculated values
**Raw total energy**: -21.9 eV per formula unit
**Formation enthalpy at 0 K**: 4.5 kJ per mole of atoms

extended XYZ file:
```
4
Lattice="2.8769 0.0000 0.0000 0.0000 2.8769 0.0000 0.0000 0.0000 6.4048" Properties=species:S:1:pos:R:3 pbc="T T T"
Ge 1.4384 1.4384 0.0000
Co 0.0000 0.0000 5.0617
Co 0.0000 0.0000 1.3431
Au 1.4384 1.4384 3.2024
```

Entry 9:
Material: MnFeIr2
Method: DFT, GGA-PBE
State: optimized geometry

Calculated values
**Raw total energy**: -31.6 eV per formula unit
**Formation enthalpy at 0 K**: 91.2 kJ per mole of atoms
**Offset from the most stable computed form**: 109.6 kJ per mole of atoms

extended XYZ file:
```
8
Lattice="-0.8090 -3.9043 3.3831 4.8321 -1.7832 -0.9025 3.8672 0.1889 5.1839" Properties=species:S:1:pos:R:3 pbc="T T T"
Ir 1.0641 -2.6214 3.3024
Ir 6.4275 -4.8374 6.0571
Ir 3.8869 -1.5497 1.1500
Ir 4.4022 -1.9886 4.8194
Mn 2.0116 -2.8437 1.2403
Mn 5.3554 -2.2190 2.7608
Fe 2.5349 -3.2796 4.9036
Fe 0.0000 0.0000 0.0000
```

Entry 10:
Material: CaCeInBr6
Method: DFT, GGA-PBE
State: optimized geometry

Calculated values
**Formation energy from raw total energies**: -1.6362 eV per atom
**Raw total energy**: -35.4 eV per formula unit

extended XYZ file:
```
18
Lattice="-2.1633 7.2359 0.7667 -4.9177 -5.1797 -2.5714 -4.1685 -2.6583 13.3267" Properties=species:S:1:pos:R:3 pbc="T T T"
Br -5.0558 0.9422 0.6387
Br -6.2597 -2.8922 -0.5027
Br -3.4396 0.9549 8.7272
Br -4.9898 2.2901 12.0247
Br -6.1938 -1.5443 10.8832
Br -7.8099 -1.5570 2.7947
Br -4.1125 -0.2289 4.2162
Br -2.3595 -2.2425 0.8469
Br -4.6527 -4.2561 3.2439
Br -6.5968 3.6539 8.2781
Br -7.1370 -0.3732 7.3058
Br -8.8900 1.6403 10.6751
In 0.0000 0.0000 0.0000
In -2.0843 -1.3292 6.6634
Ca -6.2078 1.1036 9.6490
Ca -5.0417 -1.7058 1.8729
Ce -4.1236 2.4328 2.9857
Ce -7.1260 -3.0349 8.5363
```

Entry 11:
Material: Dy3HgAu4
Method: DFT, GGA-PBE
State: optimized geometry

Calculated values
**Raw total energy**: -32.9 eV per formula unit
**Formation enthalpy at 0 K**: -68.9 kJ per mole of atoms

extended XYZ file:
```
16
Lattice="4.9346 0.0000 0.0000 0.0000 7.4039 0.0000 0.0000 0.0000 9.8694" Properties=species:S:1:pos:R:3 pbc="T T T"
Dy 0.0000 0.0000 0.0000
Dy 2.4688 3.7020 2.4674
Dy 2.4681 0.0000 2.4674
Dy 0.0000 0.0000 4.9347
Dy 2.4665 0.0000 7.4021
Dy 2.4658 3.7020 7.4021
Au 4.9333 1.7867 7.4021
Au 2.4673 5.6171 4.9347
Au 2.4673 5.6171 0.0000
Au 2.4673 1.7868 4.9347
Au 0.0013 1.7867 2.4674
Au 0.0013 5.6172 2.4674
Au 2.4673 1.7868 0.0000
Au 4.9333 5.6172 7.4021
Hg 0.0000 3.7020 0.0000
Hg 0.0000 3.7020 4.9347
```

Entry 12:
Material: Pr2TlCd6
Method: DFT, GGA-PBE
State: optimized geometry

Calculated values
**Raw total energy**: -19.4 eV per formula unit
**Formation enthalpy at 0 K**: -21.5 kJ per mole of atoms
**Offset from the most stable computed form**: 0.0 kJ per mole of atoms

extended XYZ file:
```
9
Lattice="-3.9269 -0.0203 -4.7948 -2.1001 -5.9885 1.7489 -5.0665 -0.6267 4.1556" Properties=species:S:1:pos:R:3 pbc="T T T"
Pr -8.0310 -4.4300 -0.0292
Pr -3.0625 -2.2056 1.1389
Cd -7.1567 -5.4095 3.2305
Cd -4.8762 -3.9236 -1.3282
Cd -3.9368 -1.2261 -2.1208
Cd -4.8801 -5.1292 1.3529
Cd -6.2135 -1.5064 -0.2432
Cd -6.2174 -2.7120 2.4379
Tl 0.0000 0.0000 0.0000
```

Entry 13:
Material: DyMn2PC
Method: DFT, GGA-PBE
State: optimized geometry

Calculated values
**Raw total energy**: -41.1 eV per formula unit
**Formation enthalpy at 0 K**: -67.4 kJ per mole of atoms

extended XYZ file:
```
10
Lattice="-3.0554 1.5060 1.2931 2.2371 -3.2139 3.8959 3.6289 5.3570 2.3355" Properties=species:S:1:pos:R:3 pbc="T T T"
Dy -0.5586 1.8776 1.6266
Dy 3.3692 1.7714 5.8980
Mn 3.6614 4.2055 3.7536
Mn -0.8508 -0.5564 3.7709
Mn 0.5436 1.5020 4.6683
Mn 2.2671 2.1471 2.8562
C 1.8144 2.6785 1.1678
C 0.0000 0.0000 0.0000
P 1.5253 3.6214 4.5197
P 1.2853 0.0277 3.0048
```

Entry 14:
Material: Pm2Zn2Pd
Method: DFT, GGA-PBE
State: optimized geometry

Calculated values
**Raw total energy**: -19.8 eV per formula unit
**Formation enthalpy at 0 K**: -50.0 kJ per mole of atoms

extended XYZ file:
```
10
Lattice="4.5080 0.0000 0.0000 2.2540 5.1226 -0.4163 2.2540 0.0855 9.8238" Properties=species:S:1:pos:R:3 pbc="T T T"
Pd 4.5080 4.5874 2.9526
Pd 4.5080 0.6207 6.4550
Zn 6.7620 4.4813 8.3533
Zn 6.7620 3.7945 4.0355
Zn 2.2540 0.7268 1.0543
Zn 2.2540 1.4136 5.3721
Pm 2.2540 3.7211 0.8270
Pm 4.5080 3.5902 6.2329
Pm 4.5080 1.6179 3.1747
Pm 6.7620 1.4870 8.5806
```

Entry 15:
Material: Li2CaZn2Pb2
Method: DFT, GGA-PBE
State: optimized geometry

Calculated values
**Raw total energy**: -17.8 eV per formula unit
**Formation enthalpy at 0 K**: -27.5 kJ per mole of atoms

extended XYZ file:
```
7
Lattice="4.5993 0.0000 0.0000 2.2997 3.9832 0.0000 2.2997 1.3277 8.5138" Properties=species:S:1:pos:R:3 pbc="T T T"
Ca 0.0000 0.0000 0.0000
Li 2.2997 1.3277 4.9113
Li 6.8990 3.9832 3.6025
Pb 2.2997 1.3277 1.9628
Pb 6.8990 3.9832 6.5510
Zn 4.5993 2.6554 5.6059
Zn 4.5994 2.6554 2.9079
```

Entry 16:
Material: ZrC
Method: DFT, GGA-PBE
State: optimized geometry

Calculated values
**Raw total energy**: -16.8 eV per formula unit
**Formation enthalpy at 0 K**: 45.0 kJ per mole of atoms
**Offset from the most stable computed form**: 122.9 kJ per mole of atoms

extended XYZ file:
```
2
Lattice="3.1938 0.0000 0.0000 0.0000 3.1938 0.0000 0.0000 0.0000 4.0491" Properties=species:S:1:pos:R:3 pbc="T T T"
Zr 1.5969 1.5969 0.0000
C 0.0000 0.0000 0.0000
```

Entry 17:
Material: Ca2Cd3Hg4
Method: DFT, GGA-PBE
State: optimized geometry

Calculated values
**Raw total energy**: -10.4 eV per formula unit
**Formation enthalpy at 0 K**: -26.5 kJ per mole of atoms
**Offset from the most stable computed form**: 4.2 kJ per mole of atoms

extended XYZ file:
```
18
Lattice="-4.5934 4.3277 0.4059 -4.6401 -5.3937 4.9984 5.9627 1.0797 6.7003" Properties=species:S:1:pos:R:3 pbc="T T T"
Hg -1.9390 0.0603 2.0466
Hg -0.0991 4.0582 4.8742
Hg 0.2377 -0.3839 6.7825
Hg -3.5084 0.3976 5.3221
Hg -3.1717 -4.0446 7.2304
Hg -1.3317 -0.0466 10.0581
Hg 0.9649 -2.2105 9.8551
Hg -4.2357 2.2241 2.2495
Cd -2.9685 3.3453 4.6358
Cd 0.0000 0.0000 0.0000
Cd -0.3023 -3.3317 7.4688
Cd -4.6167 -0.5330 2.7021
Cd -0.6718 1.1815 4.4328
Cd -2.5990 -1.1678 7.6718
Ca -1.9007 -2.4359 4.4621
Ca 2.4540 2.0611 5.7943
Ca -5.7247 -2.0475 6.3104
Ca -1.3701 2.4495 7.6425
```